No. 1
Here is a geometry-optimized Mg2AlCuRh structure from the Alexandria database. Energies are from PBE.

As for the energy of formation from the pure elements: 0.390 eV/atom. The calculation puts the magnetic moment at 0.000 μB per formula unit. As for the crystal system: tetragonal. The value obtained for the density is 3.611 g/cm³.

The structure belongs to space group P4/mmm (No. 123); the cell edges are 4.8303, 4.8303 and 4.7709 Å and the angles 90.00°, 90.00° and 90.00°. The asymmetric unit holds Mg at (0.0000, 0.5000, 0.0000), Al at (0.0000, 0.0000, 0.5000), Cu at (0.5000, 0.5000, 0.5000) and Rh at (0.5000, 0.5000, 0.0000).


No. 2
Here is a geometry-optimized MgAlCu2S4 structure from the Alexandria database. Energies are from PBE.

The calculation puts the magnetic moment at 0.000 μB per formula unit. As for the crystal system: tetragonal. The value obtained for the density is 3.243 g/cm³. As for the uncorrected formation energy: -76.0 kJ/mol of atoms.

The structure belongs to space group I-42m (No. 121); the cell edges are 5.4092, 5.4092 and 10.7336 Å and the angles 90.00°, 90.00° and 90.00°. The asymmetric unit holds Mg at (0.0000, 0.0000, 0.0000), Al at (0.0000, 0.0000, 0.5000), Cu at (0.0000, 0.5000, 0.2500) and S at (0.2360, 0.2360, 0.3707).


No. 3
Here is a geometry-optimized MgScAlCu structure from the Alexandria database. Energies are from PBE.

As for the energy of formation from the pure elements: -0.244 eV/atom. The calculation puts the magnetic moment at 0.000 μB per formula unit. As for the crystal system: cubic. The value obtained for the density is 3.752 g/cm³.

The structure belongs to space group F-43m (No. 216); the cell edges are 6.5642, 6.5642 and 6.5642 Å and the angles 90.00°, 90.00° and 90.00°. The asymmetric unit holds Mg at (0.0000, 0.0000, 0.0000), Sc at (0.0000, 0.0000, 0.5000), Al at (0.2500, 0.2500, 0.7500) and Cu at (0.2500, 0.2500, 0.2500).


No. 4
Here is a geometry-optimized Mg2AlCuSe4 structure from the Alexandria database. Energies are from PBE.

The calculation puts the magnetic moment at 0.000 μB per formula unit. As for the crystal system: orthorhombic. The value obtained for the density is 3.850 g/cm³. As for the uncorrected formation energy: -89.8 kJ/mol of atoms.

The structure belongs to space group Fmm2 (No. 42); the cell edges are 8.2364, 8.2367 and 11.5701 Å and the angles 90.00°, 90.00° and 90.00°. The asymmetric unit holds Mg at (0.2500, 0.2500, 0.0000), Al at (0.0000, 0.0000, 0.2503), Cu at (0.0000, 0.0000, 0.7492), Se at (0.0000, 0.2464, 0.3654) and Se at (0.2458, 0.0000, 0.1345).


No. 5
Here is a geometry-optimized MgAlCu3Se4 structure from the Alexandria database. Energies are from PBE.

The calculation puts the magnetic moment at 0.000 μB per formula unit. As for the crystal system: cubic. The value obtained for the density is 4.790 g/cm³. As for the uncorrected formation energy: -43.1 kJ/mol of atoms.

The structure belongs to space group P-43m (No. 215); the cell edges are 5.7827, 5.7827 and 5.7827 Å and the angles 90.00°, 90.00° and 90.00°. The asymmetric unit holds Mg at (0.0000, 0.0000, 0.0000), Al at (0.5000, 0.5000, 0.5000), Cu at (0.0000, 0.5000, 0.5000) and Se at (0.2575, 0.2575, 0.7425).


No. 6
Here is a geometry-optimized Mg2AlCu5Si2 structure from the Alexandria database. Energies are from PBE.

The calculation puts the magnetic moment at 0.000 μB per formula unit. As for the crystal system: tetragonal. The value obtained for the density is 5.162 g/cm³. As for the uncorrected formation energy: -5.9 kJ/mol of atoms.

The structure belongs to space group P4/mbm (No. 127); the cell edges are 8.8134, 8.8134 and 3.7231 Å and the angles 90.00°, 90.00° and 90.00°. The asymmetric unit holds Mg at (0.1776, 0.3224, 0.0000), Al at (0.0000, 0.0000, 0.0000), Cu at (0.0000, 0.5000, 0.5000), Cu at (0.0645, 0.7955, 0.5000) and Si at (0.1189, 0.6189, 0.0000).


No. 7
Here is a geometry-optimized Sr2MgAl12Cu3 structure from the Alexandria database. Energies are from PBE.

As for the energy of formation from the pure elements: 0.264 eV/atom. The calculation puts the magnetic moment at 0.000 μB per formula unit. As for the crystal system: trigonal. The value obtained for the density is 2.653 g/cm³.

The structure belongs to space group R-3m (No. 166, hexagonal axes); the cell edges are 8.3794, 8.3794 and 22.0454 Å and the angles 90.00°, 90.00° and 120.00°. The asymmetric unit holds Sr at (0.0000, 0.0000, 0.1007), Mg at (0.0000, 0.0000, 0.5000), Al at (0.0313, 0.5156, 0.3465), Al at (0.0929, 0.5464, 0.8930) and Cu at (0.0000, 0.5000, 0.0000).


No. 8
Here is a geometry-optimized Sr2MgAlCu structure from the Alexandria database. Energies are from PBE.

As for the energy of formation from the pure elements: -0.003 eV/atom. The calculation puts the magnetic moment at 0.000 μB per formula unit. As for the crystal system: tetragonal. The value obtained for the density is 2.977 g/cm³.

The structure belongs to space group P4/mmm (No. 123); the cell edges are 5.8950, 5.8950 and 4.6564 Å and the angles 90.00°, 90.00° and 90.00°. The asymmetric unit holds Sr at (0.0000, 0.5000, 0.0000), Mg at (0.0000, 0.0000, 0.5000), Al at (0.5000, 0.5000, 0.5000) and Cu at (0.5000, 0.5000, 0.0000).


No. 9
Here is a geometry-optimized SrMgAlCu structure from the Alexandria database. Energies are from PBE.

As for the energy of formation from the pure elements: -0.106 eV/atom. The calculation puts the magnetic moment at 0.000 μB per formula unit. As for the crystal system: trigonal. The value obtained for the density is 3.318 g/cm³.

The structure belongs to space group R3m (No. 160, hexagonal axes); the cell edges are 4.4480, 4.4480 and 17.7401 Å and the angles 90.00°, 90.00° and 120.00°. The asymmetric unit holds Sr at (0.0000, 0.0000, 0.0000), Mg at (0.0000, 0.0000, 0.1903), Al at (0.0000, 0.0000, 0.7933) and Cu at (0.0000, 0.0000, 0.4671).


No. 10
Here is a geometry-optimized MgAl2CuTe4 structure from the Alexandria database. Energies are from PBE.

The calculation puts the magnetic moment at 0.000 μB per formula unit. As for the crystal system: orthorhombic. The value obtained for the density is 4.436 g/cm³. As for the uncorrected formation energy: -35.4 kJ/mol of atoms.

The structure belongs to space group Fmm2 (No. 42); the cell edges are 8.6250, 9.5840 and 11.8148 Å and the angles 90.00°, 90.00° and 90.00°. The asymmetric unit holds Mg at (0.0000, 0.0000, 0.0000), Al at (0.2500, 0.2500, 0.2544), Cu at (0.0000, 0.0000, 0.4968), Te at (0.0000, 0.2360, 0.6125) and Te at (0.2379, 0.0000, 0.3603).